{"formula": "CoPbSO", "functional": "GGA+U", "state": "relaxed", "de_polymorph_ev_per_atom": 0.000, "crystal_system": "orthorhombic", "total_magnetization_mub_per_fu": 3.0, "cell": [[5.9745, 0.0000, 0.0000], [0.0000, 9.0441, 0.0000], [0.0000, 0.0000, 5.8099]], "species": ["Co", "Co", "Co", "Co", "Pb", "Pb", "Pb", "Pb", "S", "S", "S", "S", "O", "O", "O", "O"], "fractional_positions": [[0.1013, 0.0714, 0.0000], [0.3987, 0.0714, 0.5000], [0.6013, 0.9286, 0.0000], [0.8987, 0.9286, 0.5000], [0.0007, 0.6708, 0.0832], [0.4993, 0.6708, 0.5832], [0.5007, 0.3292, 0.0832], [0.9993, 0.3292, 0.5832], [0.0074, 0.6821, 0.5824], [0.4926, 0.6821, 0.0824], [0.5074, 0.3179, 0.5824], [0.9926, 0.3179, 0.0824], [0.0968, 0.0712, 0.6485], [0.4032, 0.0712, 0.1485], [0.5968, 0.9288, 0.6485], [0.9032, 0.9288, 0.1485]]}